# 1
Tm2ZnPb | GGA-PBE | optimized geometry

Structure (extended XYZ):
```
4
Lattice="3.563 0.000 0.000 0.000 3.563 0.000 0.000 0.000 7.746" Properties=species:S:1:pos:R:3 pbc="T T T"
Pb 1.781 1.781 3.873
Tm 0.000 0.000 1.722
Tm 0.000 0.000 6.024
Zn 1.781 1.781 0.000
```

Computed properties:
raw total energy = -3.832 eV per atom
DOS(E_F) = 0.48 states/eV per atom
magnetic moment = 0.00 μB per formula unit

=====

# 2
TmZnPb | GGA-PBE | optimized geometry

Structure (extended XYZ):
```
3
Lattice="3.932 0.000 0.000 0.000 4.595 0.000 0.000 -2.298 3.980" Properties=species:S:1:pos:R:3 pbc="T T T"
Tm 2.753 2.298 1.327
Zn 0.148 0.000 0.000
Pb 1.030 0.000 2.653
```

Computed properties:
raw total energy = -3.400 eV per atom
DOS(E_F) = 0.37 states/eV per atom
magnetic moment = 0.00 μB per formula unit

=====

# 3
Tm3ZnPb3 | GGA-PBE | optimized geometry

Structure (extended XYZ):
```
14
Lattice="-1.074 -4.253 0.733 0.117 -1.319 6.009 -14.361 1.710 2.379" Properties=species:S:1:pos:R:3 pbc="T T T"
Tm -1.663 -3.365 5.023
Tm -3.595 -1.061 2.069
Tm -9.448 -1.578 3.989
Tm -13.654 -0.498 4.100
Tm -11.723 -2.801 7.054
Tm -5.869 -2.284 5.133
Pb -12.102 -3.230 4.012
Pb -6.785 -0.160 2.625
Pb -8.532 -3.702 6.497
Pb -13.320 -0.059 7.134
Pb -3.215 -0.633 5.110
Pb -1.997 -3.804 1.989
Zn -9.291 -1.079 7.114
Zn -6.026 -2.783 2.008
```

Computed properties:
raw total energy = -4.038 eV per atom
DOS(E_F) = 0.52 states/eV per atom
magnetic moment = 0.00 μB per formula unit

=====

# 4
TmZnPb | GGA-PBE | optimized geometry

Structure (extended XYZ):
```
6
Lattice="4.064 0.000 0.000 0.000 4.765 0.000 0.000 2.383 7.634" Properties=species:S:1:pos:R:3 pbc="T T T"
Zn 1.016 4.765 6.824
Zn 3.048 2.383 0.811
Tm 1.016 4.765 1.337
Tm 3.048 2.383 6.297
Pb 1.016 2.383 3.506
Pb 3.048 4.765 4.129
```

Computed properties:
raw total energy = -3.352 eV per atom
DOS(E_F) = 0.62 states/eV per atom
magnetic moment = 0.00 μB per formula unit

=====

# 5
Tm4Zn2Pb | GGA-PBE | optimized geometry

Structure (extended XYZ):
```
7
Lattice="4.772 0.000 1.491 2.153 4.259 1.491 -0.134 -0.082 8.811" Properties=species:S:1:pos:R:3 pbc="T T T"
Tm 2.567 1.579 8.550
Tm 4.225 2.598 3.243
Tm 5.955 3.662 6.087
Tm 0.836 0.514 5.706
Zn 1.676 1.031 3.018
Zn 5.116 3.146 8.775
Pb 0.000 0.000 0.000
```

Computed properties:
raw total energy = -3.631 eV per atom
DOS(E_F) = 1.05 states/eV per atom
magnetic moment = 0.00 μB per formula unit

=====

# 6
TmZnPb | GGA-PBE | optimized geometry

Structure (extended XYZ):
```
3
Lattice="4.748 0.000 0.000 2.374 4.112 0.000 2.374 1.371 3.877" Properties=species:S:1:pos:R:3 pbc="T T T"
Pb 4.748 2.741 1.938
Tm 0.000 0.000 0.000
Zn 2.374 1.371 0.969
```

Computed properties:
raw total energy = -3.328 eV per atom
DOS(E_F) = 0.64 states/eV per atom
magnetic moment = 0.00 μB per formula unit

=====

# 7
TmZn2Pb | GGA-PBE | optimized geometry

Structure (extended XYZ):
```
4
Lattice="-1.877 3.925 0.738 -2.670 -0.632 -3.432 -2.947 -1.907 2.644" Properties=species:S:1:pos:R:3 pbc="T T T"
Zn -1.335 -0.316 -1.716
Zn -1.473 -0.953 1.322
Pb -0.939 1.962 0.369
Tm -3.747 0.693 -0.025
```

Computed properties:
E above lowest polymorph = 0 meV/atom
DOS(E_F) = 0.56 states/eV per atom
magnetic moment = 0.00 μB per formula unit

=====

# 8
Tm5ZnPb4 | GGA-PBE | optimized geometry

Structure (extended XYZ):
```
10
Lattice="-4.524 2.464 3.516 0.544 -1.528 7.302 1.484 6.835 2.652" Properties=species:S:1:pos:R:3 pbc="T T T"
Pb -1.993 4.804 10.236
Pb -1.938 1.671 6.971
Pb -0.208 5.909 6.227
Pb -0.152 2.776 2.961
Tm -2.278 4.008 4.955
Tm 0.392 0.700 5.177
Tm -2.955 1.609 2.297
Tm 0.083 3.598 8.280
Tm -2.587 6.907 8.058
Zn -0.660 0.359 0.513
```

Computed properties:
raw total energy = -4.067 eV per atom
DOS(E_F) = 0.68 states/eV per atom
magnetic moment = 0.00 μB per formula unit

=====

# 9
Tm12Zn6Pb | GGA-PBE | optimized geometry

Structure (extended XYZ):
```
19
Lattice="-8.242 -1.320 1.895 3.028 -6.698 -4.385 4.477 0.933 7.235" Properties=species:S:1:pos:R:3 pbc="T T T"
Tm 1.365 -5.425 2.568
Tm 1.458 -1.753 2.591
Tm -0.070 -3.446 -0.175
Tm -2.248 -6.796 -1.215
Tm -0.667 -3.639 4.920
Tm 4.594 -4.161 3.782
Tm 1.511 -0.289 5.960
Tm -3.675 -1.821 5.992
Tm -5.331 -2.924 0.963
Tm -2.102 -1.660 2.177
Tm -2.195 -5.332 2.154
Tm 2.938 -5.264 -1.247
Zn -3.073 -4.057 -0.115
Zn -3.844 -3.210 3.628
Zn 3.107 -3.875 1.117
Zn 2.336 -3.028 4.860
Zn -0.954 -0.907 4.918
Zn 0.217 -6.178 -0.173
Pb 0.000 0.000 0.000
```

Computed properties:
raw total energy = -3.631 eV per atom
DOS(E_F) = 0.70 states/eV per atom
magnetic moment = 0.00 μB per formula unit

=====

# 10
TmZnPb | GGA-PBE | optimized geometry

Structure (extended XYZ):
```
18
Lattice="-4.184 0.059 0.202 0.339 -1.582 7.482 0.318 13.084 2.751" Properties=species:S:1:pos:R:3 pbc="T T T"
Tm 0.406 4.555 7.072
Tm 0.512 8.536 8.103
Tm 0.145 2.966 2.130
Tm 0.284 -0.488 6.011
Tm 0.373 11.990 4.222
Tm 0.251 6.947 3.162
Pb -1.621 10.740 6.725
Pb -1.820 4.386 4.460
Pb -1.707 7.175 5.976
Pb -1.805 9.615 3.239
Pb -1.906 0.822 3.710
Pb -1.722 1.946 7.197
Zn -1.935 5.349 1.802
Zn -1.487 10.545 9.545
Zn 0.380 9.152 5.191
Zn -2.040 1.016 0.891
Zn -1.592 6.212 8.633
Zn 0.277 2.351 5.042
```

Computed properties:
raw total energy = -3.428 eV per atom
DOS(E_F) = 0.62 states/eV per atom
magnetic moment = 0.00 μB per formula unit

=====

# 11
Tm5Zn4Pb | GGA-PBE | optimized geometry

Structure (extended XYZ):
```
10
Lattice="3.550 0.000 0.000 0.000 3.550 0.000 0.000 0.000 18.164" Properties=species:S:1:pos:R:3 pbc="T T T"
Zn 0.000 0.000 7.313
Zn 0.000 0.000 14.232
Zn 0.000 0.000 10.852
Zn 0.000 0.000 3.933
Pb 0.000 0.000 0.000
Tm 1.775 1.775 2.170
Tm 1.775 1.775 15.994
Tm 1.775 1.775 9.082
Tm 1.775 1.775 12.551
Tm 1.775 1.775 5.614
```

Computed properties:
raw total energy = -3.473 eV per atom
DOS(E_F) = 0.80 states/eV per atom
magnetic moment = 0.00 μB per formula unit

=====

# 12
Tm3ZnPb2 | GGA-PBE | optimized geometry

Structure (extended XYZ):
```
24
Lattice="-0.845 -0.553 -4.399 0.825 -11.524 1.291 -11.828 -0.583 2.346" Properties=species:S:1:pos:R:3 pbc="T T T"
Zn -4.312 -8.021 -1.636
Zn -7.536 -4.640 0.874
Zn -10.048 -10.802 -0.184
Zn -1.801 -1.859 -0.578
Pb -6.374 -4.451 -1.689
Pb -9.492 -6.508 1.484
Pb -2.357 -6.153 -2.247
Pb -3.184 -11.721 0.928
Pb -0.583 -2.442 -3.055
Pb -11.266 -10.219 2.292
Pb -5.475 -8.210 0.926
Pb -8.665 -0.940 -1.690
Tm -4.121 -5.332 0.304
Tm -3.811 -2.895 -2.377
Tm -5.268 -10.707 -1.115
Tm -0.469 -4.432 -0.511
Tm -2.205 -8.343 0.315
Tm -11.380 -8.229 -0.252
Tm -6.581 -1.954 0.353
Tm -1.513 -11.241 -1.769
Tm -7.728 -7.329 -1.067
Tm -8.038 -9.766 1.615
Tm -9.644 -4.318 -1.077
Tm -10.336 -1.420 1.007
```

Computed properties:
E above lowest polymorph = 0 meV/atom
DOS(E_F) = 0.57 states/eV per atom
magnetic moment = 0.00 μB per formula unit

=====

# 13
Tm5Zn2Pb | GGA-PBE | optimized geometry

Structure (extended XYZ):
```
16
Lattice="7.999 0.000 0.000 0.000 7.999 0.000 -4.000 -4.000 6.396" Properties=species:S:1:pos:R:3 pbc="T T T"
Tm -2.772 1.227 4.551
Tm 2.772 -1.227 4.551
Tm 1.227 5.227 1.845
Tm -1.227 -2.772 4.551
Tm 0.000 0.000 0.000
Tm 1.227 2.772 4.551
Tm 6.772 2.772 1.845
Tm 4.000 4.000 0.000
Tm 2.772 1.227 1.845
Tm 5.227 6.772 1.845
Pb 4.000 4.000 3.198
Pb 0.000 0.000 3.198
Zn 5.097 1.097 0.000
Zn 6.902 5.097 0.000
Zn 2.902 6.902 0.000
Zn 1.097 2.902 0.000
```

Computed properties:
raw total energy = -3.911 eV per atom
DOS(E_F) = 0.82 states/eV per atom
magnetic moment = 0.00 μB per formula unit

=====

# 14
TmZnPb | GGA-PBE | optimized geometry

Structure (extended XYZ):
```
6
Lattice="-2.811 -2.961 1.107 -1.096 -0.502 -4.126 6.251 -5.469 1.244" Properties=species:S:1:pos:R:3 pbc="T T T"
Pb -1.941 -2.788 -0.265
Pb 4.286 -6.144 -1.511
Tm 2.039 -5.980 1.305
Tm 0.306 -2.952 -3.081
Zn -0.008 -4.727 -0.542
Zn 2.353 -4.205 -1.233
```

Computed properties:
raw total energy = -3.424 eV per atom
DOS(E_F) = 0.54 states/eV per atom
magnetic moment = 0.00 μB per formula unit

=====

# 15
TmZnPb | GGA-PBE | optimized geometry

Structure (extended XYZ):
```
3
Lattice="3.516 0.000 0.000 0.000 3.516 0.000 -1.758 -1.758 5.929" Properties=species:S:1:pos:R:3 pbc="T T T"
Tm 0.000 0.000 3.128
Pb 1.758 1.758 5.515
Zn 1.758 1.758 1.437
```

Computed properties:
raw total energy = -3.330 eV per atom
DOS(E_F) = 0.74 states/eV per atom
magnetic moment = 0.19 μB per formula unit

=====

# 16
TmZn2Pb | GGA-PBE | optimized geometry

Structure (extended XYZ):
```
4
Lattice="-4.339 0.566 1.438 -3.133 -3.284 -0.784 -1.338 -3.036 4.536" Properties=species:S:1:pos:R:3 pbc="T T T"
Tm 0.000 0.000 0.000
Pb -4.405 -2.877 2.595
Zn -6.627 -4.279 3.818
Zn -2.183 -1.475 1.372
```

Computed properties:
E above lowest polymorph = 150 meV/atom
DOS(E_F) = 0.38 states/eV per atom
magnetic moment = 0.00 μB per formula unit

=====

# 17
Tm3ZnPb2 | GGA-PBE | optimized geometry

Structure (extended XYZ):
```
12
Lattice="-3.092 1.400 5.259 1.885 -5.604 2.600 7.403 4.263 -0.507" Properties=species:S:1:pos:R:3 pbc="T T T"
Zn 0.080 -1.224 1.316
Zn -1.287 -2.980 6.543
Tm -1.551 -0.485 4.089
Tm 1.805 1.238 1.475
Tm 2.832 1.902 5.627
Tm 0.343 -3.718 3.771
Tm 4.391 -1.179 5.878
Tm 3.364 -1.843 1.726
Pb 1.678 -0.940 4.222
Pb 0.121 2.140 3.967
Pb 4.517 0.999 3.131
Pb 6.074 -2.081 3.386
```

Computed properties:
E above lowest polymorph = 77 meV/atom
DOS(E_F) = 0.67 states/eV per atom
magnetic moment = 0.00 μB per formula unit

=====

# 18
Tm2ZrPb3 | GGA-PBE | optimized geometry

Structure (extended XYZ):
```
12
Lattice="-5.454 2.994 -1.127 -1.562 -0.486 6.270 6.308 5.569 2.003" Properties=species:S:1:pos:R:3 pbc="T T T"
Pb -6.507 2.667 3.096
Pb -3.556 4.016 2.262
Pb 2.305 3.893 7.061
Pb -0.271 -0.084 1.088
Pb -1.915 2.443 5.897
Pb 0.665 5.465 3.426
Zr -2.999 1.413 0.526
Zr -3.780 1.170 3.660
Tm 3.214 3.766 3.930
Tm -4.465 4.142 5.394
Tm -0.769 2.786 2.862
Tm -0.482 5.123 6.463
```

Computed properties:
raw total energy = -5.031 eV per atom
DOS(E_F) = 0.77 states/eV per atom
magnetic moment = 0.00 μB per formula unit

=====

# 19
Tm2Zr3Pb4 | GGA-PBE | optimized geometry

Structure (extended XYZ):
```
18
Lattice="7.802 -0.178 0.000 -2.731 7.510 0.000 0.000 0.000 7.969" Properties=species:S:1:pos:R:3 pbc="T T T"
Tm 5.180 5.968 6.622
Tm 1.279 6.057 5.332
Tm -0.108 1.365 1.348
Tm 3.793 1.276 2.637
Pb 6.330 0.485 4.240
Pb 5.354 3.443 1.131
Pb 2.643 6.758 0.256
Pb 3.619 3.801 5.116
Pb -0.282 3.890 6.838
Pb 1.452 3.532 2.853
Pb -1.258 6.847 3.729
Pb 2.429 0.574 7.714
Zr -0.050 5.567 1.388
Zr 2.536 3.666 0.000
Zr 3.852 5.478 2.596
Zr -1.365 3.755 3.985
Zr 1.220 1.855 5.373
Zr 5.122 1.766 6.581
```

Computed properties:
raw total energy = -5.830 eV per atom
DOS(E_F) = 0.77 states/eV per atom
magnetic moment = 0.00 μB per formula unit

=====

# 20
Tm2ZrPb | GGA-PBE | optimized geometry

Structure (extended XYZ):
```
4
Lattice="3.416 0.000 0.000 1.708 2.959 0.000 1.708 0.986 11.523" Properties=species:S:1:pos:R:3 pbc="T T T"
Tm 1.708 0.986 8.348
Tm 5.124 2.959 3.175
Pb 0.000 0.000 0.000
Zr 3.416 1.972 5.762
```

Computed properties:
E above lowest polymorph = 258 meV/atom
DOS(E_F) = 1.30 states/eV per atom
magnetic moment = 0.00 μB per formula unit